[1]
Computed, not measured: a relaxed LiCr2PIr crystal at the PBE level of DFT.

Cell: 4.6870 4.4684 4.6870 Å, 90.00 90.00 90.00°
Last column: magnetic moment on the atom in μB.
Fractional positions:
Li 0.5000 0.5000 0.5000  0.01
P 0.0000 0.5000 0.0000  0.03
Cr 0.5000 0.0000 0.0000  -0.55
Ir 0.0000 0.0000 0.0000  0.10
Cr 0.0000 0.0000 0.5000  -0.30

Properties
SG: P4/mmm
formation energy: 1148 meV/atom


[2]
Computed, not measured: a relaxed LiCrIr2Pb crystal at the PBE level of DFT.

Cell: 4.5582 5.0300 4.5582 Å, 90.00 90.00 90.00°
Fractional positions:
Pb 0.0000 0.5000 0.0000
Cr 0.0000 0.0000 0.0000
Ir 0.5000 0.0000 0.0000
Li 0.5000 0.5000 0.5000
Ir 0.0000 0.0000 0.5000

Properties
SG: P4/mmm
formation energy: 821 meV/atom


[3]
Computed, not measured: a relaxed LiCrIrRh2 crystal at the PBE level of DFT.

Cell: 4.0269 4.1290 4.0269 Å, 90.00 90.00 90.00°
Last column: magnetic moment on the atom in μB.
Fractional positions:
Li 0.0000 0.0000 0.0000  0.00
Cr 0.5000 0.5000 0.5000  0.07
Ir 0.0000 0.5000 0.0000  0.04
Rh 0.5000 0.0000 0.0000  -0.05
Rh 0.0000 0.0000 0.5000  -0.05

Properties
SG: P4/mmm
formation energy: 813 meV/atom


[4]
Computed, not measured: a relaxed LiCrIrRh crystal at the PBE level of DFT.

Cell: 4.1624 4.1624 4.1624 Å, 60.00 60.00 60.00°
Last column: magnetic moment on the atom in μB.
Fractional positions:
Ir 0.2500 0.2500 0.2500  -0.15
Li 0.0000 0.0000 0.0000  -0.02
Cr 0.5000 0.5000 0.5000  1.30
Rh 0.7500 0.7500 0.7500  0.01

Properties
SG: F-43m
formation energy: -166 meV/atom


[5]
Computed, not measured: a relaxed LiCrSiIr crystal at the PBE level of DFT.

Cell: 4.1293 4.1293 4.1293 Å, 60.00 60.00 60.00°
Last column: magnetic moment on the atom in μB.
Fractional positions:
Cr 0.0000 0.0000 0.0000  2.80
Si 0.7500 0.7500 0.7500  -0.06
Ir 0.5000 0.5000 0.5000  -0.04
Li 0.2500 0.2500 0.2500  -0.01

Properties
SG: F-43m


[6]
Computed, not measured: a relaxed LiCr2SiIr crystal at the PBE level of DFT.

Cell: 4.0703 4.1191 4.0703 Å, 90.00 90.00 90.00°
Last column: magnetic moment on the atom in μB.
Fractional positions:
Cr 0.0000 0.0000 0.5000  2.84
Li 0.0000 0.0000 0.0000  0.07
Cr 0.5000 0.0000 0.0000  2.45
Si 0.5000 0.5000 0.5000  -0.10
Ir 0.0000 0.5000 0.0000  0.11

Properties
SG: P4/mmm


[7]
Computed, not measured: a relaxed LiCrSiIr2 crystal at the PBE level of DFT.

Cell: 4.1067 3.9695 4.1067 Å, 90.00 90.00 90.00°
Last column: magnetic moment on the atom in μB.
Fractional positions:
Ir 0.5000 0.0000 0.0000  -0.01
Si 0.0000 0.5000 0.0000  -0.01
Li 0.0000 0.0000 0.0000  0.00
Ir 0.0000 0.0000 0.5000  0.04
Cr 0.5000 0.5000 0.5000  0.33

Properties
SG: P4/mmm


[8]
Computed, not measured: a relaxed Sr2LiCrIr crystal at the PBE level of DFT.

Cell: 5.9284 5.9284 4.7330 Å, 90.00 90.00 90.00°
Last column: magnetic moment on the atom in μB.
Fractional positions:
Sr 0.0000 0.5000 0.0000  0.01
Cr 0.0000 0.0000 0.5000  3.29
Li 0.5000 0.5000 0.5000  -0.01
Sr 0.5000 0.0000 0.0000  0.01
Ir 0.0000 0.0000 0.0000  -0.13

Properties
SG: P4/mmm
formation energy: 232 meV/atom


The total moment results, record by record, are as follows: 0.7, 0.0, 0.0, 1.1, 2.9, 5.7, 0.4, 3.6 μB per cell.
The electronic total energy results, record by record, are as follows: -29.691, -28.863, -31.035, -28.414, -27.465, -30.776, -30.387, -22.600 eV per cell.